# 1
The following is a DFT calculation (PBE-GGA) of crystalline CdTcPtSe2 at its relaxed geometry.

Properties
Its formation energy from raw total energies is 0.8180 eV/atom. Its symmetry is P4/mmm. The calculated volume comes out at 125.7 Å³/cell.

Unit cell a=4.9338 b=4.9338 c=5.1634 alpha=90.00 beta=90.00 gamma=90.00
Last column: nearest neighbours and their distance in Å.
Atoms (fractional coordinates):
Cd 0.0000 0.0000 0.0000  4 Tc 3.49, 8 Se 3.57
Tc 0.5000 0.5000 0.0000  2 Pt 2.58
Pt 0.5000 0.5000 0.5000  4 Se 2.47, 2 Tc 2.58
Se 0.0000 0.5000 0.5000  2 Pt 2.47
Se 0.5000 0.0000 0.5000  2 Pt 2.47

# 2
The following is a DFT calculation (PBE-GGA) of crystalline CdSi2Pt at its relaxed geometry.

Properties
Its formation energy from raw total energies is 0.0313 eV/atom. Its symmetry is Pmm2. The calculated volume comes out at 68.7 Å³/cell.

Unit cell a=2.8171 b=3.3789 c=7.2170 alpha=90.00 beta=90.00 gamma=90.00
Last column: nearest neighbours and their distance in Å.
Atoms (fractional coordinates):
Cd 0.0000 0.0000 0.0000  2 Cd 2.82, 4 Pt 3.03
Si 0.0000 0.0000 0.4738  4 Pt 2.57, 6 Si 2.63-2.82
Si 0.5000 0.5000 0.6745  6 Si 2.63-2.82, 1 Pt 2.78
Pt 0.5000 0.5000 0.2896  5 Si 2.57-2.78, 2 Pt 2.82

# 3
The following is a DFT calculation (PBE-GGA) of crystalline CdSi2Pt at its relaxed geometry.

Properties
Its formation energy from raw total energies is 0.2192 eV/atom. Its symmetry is I4/mmm. The calculated volume comes out at 67.2 Å³/cell.

Unit cell a=4.8622 b=4.8622 c=4.8622 alpha=129.22 beta=129.22 gamma=74.66
Last column: nearest neighbours and their distance in Å.
Atoms (fractional coordinates):
Cd 0.0000 0.0000 0.0000  8 Si 2.84, 4 Pt 2.95
Si 0.2500 0.7500 0.5000  4 Cd 2.84, 4 Pt 2.84, 4 Si 2.95
Si 0.7500 0.2500 0.5000  4 Cd 2.84, 4 Pt 2.84, 4 Si 2.95
Pt 0.5000 0.5000 0.0000  8 Si 2.84, 4 Cd 2.95

# 4
The following is a DFT calculation (PBE-GGA) of crystalline Cd2Si2Pt at its relaxed geometry.

Properties
Its formation energy from raw total energies is -0.1284 eV/atom. Its symmetry is P4/mbm. The calculated volume comes out at 185.7 Å³/cell.

Unit cell a=6.2357 b=6.2357 c=4.7767 alpha=90.00 beta=90.00 gamma=90.00
Last column: nearest neighbours and their distance in Å.
Atoms (fractional coordinates):
Cd 0.1805 0.3195 0.0000  6 Si 2.89-3.11, 5 Cd 3.18-3.24
Cd 0.3195 0.8195 0.0000  6 Si 2.89-3.11, 5 Cd 3.18-3.24
Cd 0.6805 0.1805 0.0000  6 Si 2.89-3.11, 5 Cd 3.18-3.24
Cd 0.8195 0.6805 0.0000  6 Si 2.89-3.11, 5 Cd 3.18-3.24
Si 0.1348 0.6348 0.5000  1 Si 2.38, 2 Pt 2.43
Si 0.3652 0.1348 0.5000  1 Si 2.38, 2 Pt 2.43
Si 0.6348 0.8652 0.5000  1 Si 2.38, 2 Pt 2.43
Si 0.8652 0.3652 0.5000  1 Si 2.38, 2 Pt 2.43
Pt 0.0000 0.0000 0.5000  4 Si 2.43
Pt 0.5000 0.5000 0.5000  4 Si 2.43

# 5
The following is a DFT calculation (PBE-GGA) of crystalline Cd4SiPt at its relaxed geometry.

Properties
Its formation energy from raw total energies is 0.3368 eV/atom. Its symmetry is F-43m. The calculated volume comes out at 122.6 Å³/cell.

Unit cell a=5.5767 b=5.5767 c=5.5767 alpha=60.00 beta=60.00 gamma=60.00
Last column: nearest neighbours and their distance in Å.
Atoms (fractional coordinates):
Cd 0.1247 0.1247 0.1247  6 Cd 2.78-2.80
Cd 0.1247 0.1247 0.6260  6 Cd 2.78-2.80
Cd 0.1247 0.6260 0.1247  6 Cd 2.78-2.80
Cd 0.6260 0.1247 0.1247  6 Cd 2.78-2.80
Si 0.5000 0.5000 0.5000  12 Cd 3.27, 4 Pt 3.42
Pt 0.7500 0.7500 0.7500  12 Cd 3.27, 4 Si 3.42

# 6
The following is a DFT calculation (PBE-GGA) of crystalline CdSi2Pt at its relaxed geometry.

Properties
Its formation energy from raw total energies is -0.1907 eV/atom. Its symmetry is Cm. The calculated volume comes out at 77.9 Å³/cell.

Unit cell a=4.0286 b=4.0286 c=5.5696 alpha=91.34 beta=91.34 gamma=59.50
Last column: nearest neighbours and their distance in Å.
Atoms (fractional coordinates):
Cd 0.0000 0.0000 0.0000  3 Si 2.79-2.86, 2 Pt 2.81-2.82
Si 0.3896 0.3896 0.6565  3 Pt 2.45-2.49
Si 0.7170 0.7170 0.3440  3 Pt 2.46-2.52
Pt 0.0586 0.0586 0.5010  6 Si 2.45-2.52